A geometry-optimized LiBBr4 structure. Source: the Alexandria database, functional GGA-PBE.

Uncorrected formation energy   -1.98 eV/f.u.
Offset from the most stable computed form   280 kJ/mol of formula units
N(E_F)   0.0 states/eV/cell
SG   No. 131
E_tot   -2.877 eV per atom

Unit cell a=7.1025 b=7.1025 c=9.6756 alpha=90.00 beta=90.00 gamma=90.00
Closest atoms and distances in Å follow each position.
Sites, in units of the cell vectors:
1 Li 0.0000 0.0000 0.0000  4 Br 2.56
2 Li 0.0000 0.0000 0.5000  4 Br 2.56
3 B 0.0000 0.5000 0.0000  4 Br 2.16
4 B 0.5000 0.0000 0.5000  4 Br 2.16
5 Br 0.2177 0.2868 0.0000  1 B 2.16
6 Br 0.2177 0.7132 0.0000  1 B 2.16
7 Br 0.2868 0.2177 0.5000  1 B 2.16
8 Br 0.2868 0.7823 0.5000  1 B 2.16
9 Br 0.7132 0.2177 0.5000  1 B 2.16
10 Br 0.7132 0.7823 0.5000  1 B 2.16
11 Br 0.7823 0.2868 0.0000  1 B 2.16
12 Br 0.7823 0.7132 0.0000  1 B 2.16